Entry 1:
# ZnCrSiN2 PBE-GGA relaxed
# M_tot: 0.00 μB per formula unit
data_ZnCrSiN2
_chemical_formula_sum 'Zn1 Cr1 Si1 N2'
_cell_length_a 3.524
_cell_length_b 3.524
_cell_length_c 4.810
_cell_angle_alpha 90.00
_cell_angle_beta 90.00
_cell_angle_gamma 90.00
_symmetry_space_group_name_H-M 'P 4/m m m'
_symmetry_Int_Tables_number 123
_symmetry_space_group_name_Hall '-P 4 2'
loop_
_atom_site_label
_atom_site_fract_x
_atom_site_fract_y
_atom_site_fract_z
Zn1 0.000 0.000 0.000
Cr1 0.500 0.500 0.000
Si1 0.000 0.000 0.500
N1 0.000 0.500 0.500

---

Entry 2:
# Sr2SmCrN4 PBE-GGA relaxed
# M_tot: 1.01 μB per formula unit
data_Sr2SmCrN4
_chemical_formula_sum 'Sr4 Sm2 Cr2 N8'
_cell_length_a 7.412
_cell_length_b 7.055
_cell_length_c 5.473
_cell_angle_alpha 90.00
_cell_angle_beta 90.00
_cell_angle_gamma 90.00
_symmetry_space_group_name_H-M 'P m n 21'
_symmetry_Int_Tables_number 31
loop_
_symmetry_equiv_pos_as_xyz
'x,y,z'
'-x+1/2,-y,z+1/2'
'-x,y,z'
'x+1/2,-y,z+1/2'
loop_
_atom_site_label
_atom_site_fract_x
_atom_site_fract_y
_atom_site_fract_z
Sr1 0.245 0.162 0.000
Sm1 0.000 0.371 0.513
Cr1 0.000 0.666 0.043
N1 0.000 0.419 0.952
N2 0.000 0.664 0.365
N3 0.210 0.789 0.969

---

Entry 3:
# SrSmCrN3 PBE-GGA relaxed
# M_tot: 0.00 μB per formula unit
data_SrSmCrN3
_chemical_formula_sum 'Sr4 Sm4 Cr4 N12'
_cell_length_a 13.204
_cell_length_b 3.791
_cell_length_c 7.276
_cell_angle_alpha 90.00
_cell_angle_beta 105.77
_cell_angle_gamma 90.00
_symmetry_space_group_name_H-M 'C 1 2/m 1'
_symmetry_Int_Tables_number 12
loop_
_symmetry_equiv_pos_as_xyz
'x,y,z'
'-x,-y,-z'
'-x,y,-z'
'x,-y,z'
'x+1/2,y+1/2,z'
'-x+1/2,-y+1/2,-z'
'-x+1/2,y+1/2,-z'
'x+1/2,-y+1/2,z'
loop_
_atom_site_label
_atom_site_fract_x
_atom_site_fract_y
_atom_site_fract_z
Sr1 0.142 0.000 0.075
Sm1 0.153 0.000 0.571
Cr1 0.004 0.500 0.711
N1 0.003 0.000 0.286
N2 0.145 0.500 0.811
N3 0.156 0.500 0.344

---

no.,ΔE_f (raw) (eV per atom)
1,1.1718
2,-0.8376
3,-0.8435